This record from Alexandria via LeMat-Bulk describes a geometry-optimized Pm4RhAu3 structure. The functional is GGA-PBE.

a b c (Å): 3.876 4.716 11.011
angles (deg): 90.00 90.00 90.00
Element x y z (fractional)
Pm 0.000 0.000 0.000
Pm 0.000 0.500 0.262
Pm 0.500 0.000 0.472
Pm 0.500 0.500 0.764
Rh 0.500 0.000 0.214
Au 0.000 0.000 0.713
Au 0.000 0.500 0.539
Au 0.500 0.500 0.042

formation energy	-808	meV per atom
space-group type	Pmm2 (25)
final energy	-5.3317	eV per atom
D(E_F)	0.75	states/eV/atom